[1]
The following is a PBE calculation of crystalline HfTiGa4 at its relaxed geometry, from Alexandria via LeMat-Bulk.

The density comes out at 7.9 g/cm³.

a b c (Å): 3.082 3.082 13.080
angles (deg): 83.19 83.19 59.88
Atoms (fractional coordinates):
Ga: 0.108 0.108 0.677
Ga: 0.612 0.612 0.162
Ga: 0.892 0.892 0.323
Ga: 0.388 0.388 0.838
Hf: 0.500 0.500 0.500
Ti: 0.000 0.000 0.000

[2]
The following is a PBE calculation of crystalline Hf2TiGa at its relaxed geometry, from Alexandria via LeMat-Bulk.

The density comes out at 9.7 g/cm³.

a b c (Å): 3.009 3.009 9.224
angles (deg): 99.37 99.39 90.00
Atoms (fractional coordinates):
Hf: 0.430 0.930 0.861
Hf: 0.209 0.709 0.418
Ga: 0.825 0.325 0.649
Ti: 0.594 0.094 0.189

[3]
The following is a PBE calculation of crystalline Hf3Ti2Ga3 at its relaxed geometry, from Alexandria via LeMat-Bulk.

The density comes out at 9.5 g/cm³.

a b c (Å): 7.869 7.869 5.467
angles (deg): 90.00 90.00 120.00
Each line ends with the local moment (μB).
Atoms (fractional coordinates):
Ti: 0.667 0.333 0.500  0.37
Ti: 0.333 0.667 0.000  0.37
Ti: 0.667 0.333 0.000  0.37
Ti: 0.333 0.667 0.500  0.37
Ga: 0.000 0.400 0.750  -0.01
Ga: 0.600 0.600 0.750  -0.01
Ga: 0.400 0.000 0.750  -0.01
Ga: 0.400 0.400 0.250  -0.01
Ga: 0.600 0.000 0.250  -0.01
Ga: 0.000 0.600 0.250  -0.01
Hf: 0.759 0.759 0.250  0.02
Hf: 0.000 0.241 0.250  0.02
Hf: 0.241 0.241 0.750  0.02
Hf: 0.000 0.759 0.750  0.02
Hf: 0.759 0.000 0.750  0.02
Hf: 0.241 0.000 0.250  0.02

[4]
The following is a PBE calculation of crystalline HfTi4Ga4 at its relaxed geometry, from Alexandria via LeMat-Bulk.

The density comes out at 7.1 g/cm³.

a b c (Å): 3.985 8.751 8.751
angles (deg): 90.00 90.00 90.00
Atoms (fractional coordinates):
Ga: 0.000 0.000 0.676
Ga: 0.000 0.000 0.324
Ga: 0.500 0.500 0.824
Ga: 0.500 0.500 0.176
Ga: 0.000 0.676 0.000
Ga: 0.000 0.324 0.000
Ga: 0.500 0.824 0.500
Ga: 0.500 0.176 0.500
Ti: 0.000 0.675 0.325
Ti: 0.000 0.675 0.675
Ti: 0.000 0.325 0.325
Ti: 0.500 0.825 0.175
Ti: 0.500 0.175 0.825
Ti: 0.500 0.175 0.175
Ti: 0.500 0.825 0.825
Ti: 0.000 0.325 0.675
Hf: 0.500 0.500 0.500
Hf: 0.000 0.000 0.000

[5]
The following is a PBE calculation of crystalline HfTi5Ga6 at its relaxed geometry, from Alexandria via LeMat-Bulk.

The density comes out at 7.2 g/cm³.

a b c (Å): 4.026 8.932 7.516
angles (deg): 53.61 74.56 63.19
Atoms (fractional coordinates):
Ga: 0.748 0.084 0.337
Ga: 0.245 0.255 0.000
Ga: 0.755 0.745 0.000
Ga: 0.748 0.421 0.663
Ga: 0.252 0.916 0.663
Ga: 0.252 0.579 0.337
Ti: 0.500 0.171 0.659
Ti: 0.000 0.333 0.334
Ti: 0.500 0.500 0.000
Ti: 0.000 0.667 0.666
Ti: 0.500 0.829 0.341
Hf: 0.000 0.000 0.000

[6]
The following is a PBE calculation of crystalline Hf2TiGa at its relaxed geometry, from Alexandria via LeMat-Bulk.

The density comes out at 10.2 g/cm³.

a b c (Å): 3.153 4.427 12.792
angles (deg): 90.00 60.15 90.00
Atoms (fractional coordinates):
Hf: 0.671 0.750 0.663
Hf: 0.843 0.250 0.827
Hf: 0.157 0.750 0.173
Hf: 0.329 0.250 0.337
Ti: 0.143 0.750 0.926
Ti: 0.857 0.250 0.074
Ga: 0.363 0.250 0.568
Ga: 0.637 0.750 0.432

[7]
The following is a PBE calculation of crystalline HfTi4Ga2 at its relaxed geometry, from Alexandria via LeMat-Bulk.

The density comes out at 6.9 g/cm³.

a b c (Å): 3.749 3.960 8.535
angles (deg): 103.41 90.00 90.00
Atoms (fractional coordinates):
Ti: 0.000 0.311 0.622
Ti: 0.000 0.689 0.378
Ti: 0.500 0.183 0.366
Ti: 0.500 0.817 0.634
Ga: 0.500 0.572 0.143
Ga: 0.500 0.428 0.857
Hf: 0.000 0.000 0.000

[8]
The following is a PBE calculation of crystalline HfTi2Ga8 at its relaxed geometry, from Alexandria via LeMat-Bulk.

The density comes out at 6.8 g/cm³.

a b c (Å): 5.200 6.911 6.900
angles (deg): 59.95 80.26 70.25
Atoms (fractional coordinates):
Ti: 0.000 0.713 0.574
Ti: 0.000 0.287 0.426
Hf: 0.500 0.000 0.000
Ga: 0.257 0.412 0.000
Ga: 0.809 0.119 0.217
Ga: 0.191 0.663 0.217
Ga: 0.809 0.337 0.783
Ga: 0.191 0.881 0.783
Ga: 0.500 0.766 0.467
Ga: 0.500 0.234 0.533
Ga: 0.743 0.588 0.000

Calculated total DFT energy (no corrections) in order - -31.17; -30.72; -117.19; -112.01; -73.01; -63.23; -49.27; -50.76 eV/cell
Calculated D(E_F) in order - 2.12; 4.54; 14.18; 16.24; 8.51; 5.68; 6.01; 5.89 states/eV per cell
Calculated formation enthalpy at 0 K in order - -0.20; 0.03; -0.48; -0.26; -0.45; -0.20; -0.24; -0.07 eV per atom